Compound: Ho3AlPt12
Source: Alexandria
Functional: GGA-PBE
Structure: relaxed

a b c (Å): 4.079 4.079 16.139
angles (deg): 90.00 90.00 90.00
Atoms (fractional coordinates):
Ho1 0.000 0.000 0.245
Ho2 0.000 0.000 0.500
Ho3 0.000 0.000 0.755
Al1 0.000 0.000 0.000
Pt1 0.500 0.500 0.000
Pt2 0.500 0.500 0.243
Pt3 0.500 0.500 0.500
Pt4 0.500 0.500 0.757
Pt5 0.500 0.000 0.114
Pt6 0.500 0.000 0.372
Pt7 0.500 0.000 0.628
Pt8 0.500 0.000 0.886
Pt9 0.000 0.500 0.114
Pt10 0.000 0.500 0.372
Pt11 0.000 0.500 0.628
Pt12 0.000 0.500 0.886

Values from the calculation:
energy relative to the elements: -0.95 eV per atom
space-group type: P4/mmm (123)


Compound: RhAuBr2
Source: Alexandria
Functional: GGA-PBE
Structure: relaxed

a b c (Å): 3.646 6.641 3.885
angles (deg): 90.00 90.00 90.00
Last column: magnetic moment on the atom in μB.
Atoms (fractional coordinates):
Rh1 0.500 0.000 0.500  0.99
Au1 0.000 0.500 0.500  0.01
Br1 0.000 0.000 0.000  0.08
Br2 0.500 0.500 0.000  0.02

Values from the calculation:
excess energy over the best structure of this formula in the dataset: 0.463 eV/atom
formation energy from raw total energies: 0.49 eV/atom
space-group type: Pmmm (47)


Compound: LiSnAu
Source: Alexandria
Functional: GGA-PBE
Structure: relaxed

a b c (Å): 3.653 3.653 4.995
angles (deg): 111.45 111.45 90.00
Atoms (fractional coordinates):
Au1 0.947 0.947 0.893
Sn1 0.613 0.613 0.226
Li1 0.290 0.290 0.581

Values from the calculation:
excess energy over the best structure of this formula in the dataset: 0.048 eV/atom
energy relative to the elements: -0.38 eV per atom
space-group type: I4mm (107)


Compound: CoRe2Br
Source: Alexandria
Functional: GGA-PBE
Structure: relaxed

a b c (Å): 2.767 2.767 9.706
angles (deg): 90.00 90.00 116.09
Last column: magnetic moment on the atom in μB.
Atoms (fractional coordinates):
Br1 0.000 0.000 0.546  0.06
Co1 0.500 0.500 0.769  1.59
Re1 0.000 0.000 0.981  0.12
Re2 0.500 0.500 0.204  0.01

Values from the calculation:
excess energy over the best structure of this formula in the dataset: 0.262 eV/atom
formation energy from raw total energies: 0.80 eV/atom
space-group type: Cmm2 (35)


How do the records compare in energy? In the order shown, they have -105.2, -12.0, -10.3, -30.5 eV per cell.